(1)
Material: GaIrOs2
Method: DFT, PBE
State: optimized geometry

Calculated total energy (eV/atom): -8.236
Energy above the most stable polymorph in this dataset (meV per atom): 0
Symmetry: Fm-3m (225)
E_form (eV per formula unit): 1.4

a b c (Å): 4.3551 4.3551 4.3551
angles (deg): 60.00 60.00 60.00
Last column: nearest neighbours and their distance in Å.
Atoms (fractional coordinates):
Ir: 0.5000 0.5000 0.5000  8 Os 2.67
Os: 0.2500 0.2500 0.2500  4 Ir 2.67, 4 Ga 2.67
Os: 0.7500 0.7500 0.7500  4 Ir 2.67, 4 Ga 2.67
Ga: 0.0000 0.0000 0.0000  8 Os 2.67



(2)
Material: GaIrOs
Method: DFT, PBE
State: optimized geometry

Calculated total energy (eV/atom): -7.640
Symmetry: P2_1/m (11)
E_form (eV per formula unit): 0.2

a b c (Å): 4.4519 8.4552 4.7997
angles (deg): 94.22 90.00 90.00
Last column: nearest neighbours and their distance in Å.
Atoms (fractional coordinates):
Ir: 0.2500 0.1835 0.5748  2 Ga 2.51-2.64, 3 Os 2.58-2.74
Ir: 0.7500 0.3430 0.8375  4 Ga 2.60-2.70, 6 Os 2.67-2.85, 2 Ir 2.85
Ir: 0.7500 0.8165 0.4252  2 Ga 2.51-2.64, 3 Os 2.58-2.74
Ir: 0.2500 0.6570 0.1625  4 Ga 2.60-2.70, 6 Os 2.67-2.85, 2 Ir 2.85
Os: 0.2500 0.8278 0.6960  6 Ga 2.56-2.86, 4 Ir 2.58-2.85, 1 Os 2.70
Os: 0.7500 0.4920 0.3654  3 Os 2.57-2.70, 5 Ir 2.67-2.84, 4 Ga 2.78-2.81
Os: 0.7500 0.1722 0.3040  6 Ga 2.56-2.86, 4 Ir 2.58-2.85, 1 Os 2.70
Os: 0.2500 0.5080 0.6346  3 Os 2.57-2.70, 5 Ir 2.67-2.84, 4 Ga 2.78-2.81
Ga: 0.7500 0.0342 0.8114  2 Ir 2.51-2.61, 2 Os 2.56-2.78
Ga: 0.2500 0.3371 0.1161  5 Ir 2.60-2.82, 6 Os 2.78-2.81
Ga: 0.7500 0.6629 0.8839  5 Ir 2.60-2.82, 6 Os 2.78-2.81
Ga: 0.2500 0.9658 0.1886  2 Ir 2.51-2.61, 2 Os 2.56-2.78



(3)
Material: Ga2IrOs
Method: DFT, PBE
State: optimized geometry

Calculated total energy (eV/atom): -6.718
Symmetry: P4/mmm (123)
E_form (eV per formula unit): -0.7

a b c (Å): 3.0791 4.2924 4.2924
angles (deg): 90.00 90.00 90.00
Last column: nearest neighbours and their distance in Å.
Atoms (fractional coordinates):
Ir: 0.5000 0.0000 0.0000  8 Ga 2.64
Os: 0.5000 0.5000 0.5000  8 Ga 2.64
Ga: 0.0000 0.0000 0.5000  4 Os 2.64, 4 Ir 2.64
Ga: 0.0000 0.5000 0.0000  4 Os 2.64, 4 Ir 2.64



(4)
Material: GaIr3Os
Method: DFT, PBE
State: optimized geometry

Calculated total energy (eV/atom): -6.377
Energy above the most stable polymorph in this dataset (meV per atom): 134
Symmetry: Pm-3m (221)
E_form (eV per formula unit): 9.0

a b c (Å): 4.4498 4.4498 4.4498
angles (deg): 90.00 90.00 90.00
Last column: nearest neighbours and their distance in Å.
Atoms (fractional coordinates):
Ir: 0.0000 0.5000 0.0000  2 Ga 2.22
Ir: 0.0000 0.0000 0.5000  2 Ga 2.22
Ir: 0.5000 0.0000 0.0000  2 Ga 2.22
Os: 0.5000 0.5000 0.5000  12 Ir 3.15
Ga: 0.0000 0.0000 0.0000  6 Ir 2.22



(5)
Material: Ga6Ir3Os
Method: DFT, PBE
State: optimized geometry

Calculated total energy (eV/atom): -5.683
Symmetry: P2_1/c (14)
E_form (eV per formula unit): -0.9

a b c (Å): 6.2755 6.6729 7.9064
angles (deg): 90.00 94.63 90.00
Last column: nearest neighbours and their distance in Å.
Atoms (fractional coordinates):
Ga: 0.6452 0.1677 0.9291  3 Ir 2.48-2.73, 1 Os 2.51
Ga: 0.6407 0.1477 0.5614  4 Ir 2.54-2.70, 1 Os 2.54, 1 Ga 2.77
Ga: 0.7276 0.4470 0.2637  3 Ir 2.46-2.63, 1 Os 2.47
Ga: 0.2724 0.5530 0.7363  3 Ir 2.46-2.63, 1 Os 2.47
Ga: 0.3593 0.8523 0.4386  4 Ir 2.54-2.70, 1 Os 2.54, 1 Ga 2.77
Ga: 0.3548 0.8323 0.0709  3 Ir 2.48-2.73, 1 Os 2.51
Ga: 0.1452 0.3323 0.4291  3 Ir 2.48-2.73, 1 Os 2.51
Ga: 0.1407 0.3523 0.0614  4 Ir 2.54-2.70, 1 Os 2.54, 1 Ga 2.77
Ga: 0.2276 0.0530 0.7637  3 Ir 2.46-2.63, 1 Os 2.47
Ga: 0.7724 0.9470 0.2363  3 Ir 2.46-2.63, 1 Os 2.47
Ga: 0.8593 0.6477 0.9386  4 Ir 2.54-2.70, 1 Os 2.54, 1 Ga 2.77
Ga: 0.8548 0.6677 0.5709  3 Ir 2.48-2.73, 1 Os 2.51
Ir: 0.5553 0.8443 0.7548  7 Ga 2.49-2.73
Ir: 0.5000 0.5000 0.0000  6 Ga 2.46-2.54
Ir: 0.4447 0.1557 0.2452  7 Ga 2.49-2.73
Ir: 0.0553 0.6557 0.2548  7 Ga 2.49-2.73
Ir: 0.0000 0.0000 0.5000  6 Ga 2.46-2.54
Ir: 0.9447 0.3443 0.7452  7 Ga 2.49-2.73
Os: 0.5000 0.5000 0.5000  6 Ga 2.47-2.54
Os: 0.0000 0.0000 0.0000  6 Ga 2.47-2.54



(6)
Material: GaIrOs3
Method: DFT, PBE
State: optimized geometry

Calculated total energy (eV/atom): -7.028
Energy above the most stable polymorph in this dataset (meV per atom): 0
Symmetry: Pm-3m (221)
E_form (eV per formula unit): 10.4

a b c (Å): 4.4256 4.4256 4.4256
angles (deg): 90.00 90.00 90.00
Last column: nearest neighbours and their distance in Å.
Atoms (fractional coordinates):
Ir: 0.5000 0.5000 0.5000  12 Os 3.13
Os: 0.0000 0.5000 0.0000  2 Ga 2.21
Os: 0.0000 0.0000 0.5000  2 Ga 2.21
Os: 0.5000 0.0000 0.0000  2 Ga 2.21
Ga: 0.0000 0.0000 0.0000  6 Os 2.21



(7)
Material: GaIr3Os
Method: DFT, PBE
State: optimized geometry

Calculated total energy (eV/atom): -6.512
Energy above the most stable polymorph in this dataset (meV per atom): 0
Symmetry: Pm-3m (221)
E_form (eV per formula unit): 8.3

a b c (Å): 4.7660 4.7660 4.7660
angles (deg): 90.00 90.00 90.00
Last column: nearest neighbours and their distance in Å.
Atoms (fractional coordinates):
Ir: 0.0000 0.5000 0.0000  2 Os 2.38
Ir: 0.0000 0.0000 0.5000  2 Os 2.38
Ir: 0.5000 0.0000 0.0000  2 Os 2.38
Os: 0.0000 0.0000 0.0000  6 Ir 2.38
Ga: 0.5000 0.5000 0.5000  12 Ir 3.37



(8)
Material: GaIrOs2
Method: DFT, PBE
State: optimized geometry

Calculated total energy (eV/atom): -7.351
Energy above the most stable polymorph in this dataset (meV per atom): 885
Symmetry: I-42d (122)
E_form (eV per formula unit): 4.9

a b c (Å): 5.5838 5.5838 6.8764
angles (deg): 66.05 66.05 90.00
Last column: nearest neighbours and their distance in Å.
Atoms (fractional coordinates):
Ir: 0.0000 0.0000 0.0000  4 Os 2.38
Ir: 0.7500 0.2500 0.5000  4 Os 2.38
Os: 0.6389 0.1250 0.2500  2 Ir 2.38, 2 Ga 2.47
Os: 0.1111 0.6250 0.2500  2 Ir 2.38, 2 Ga 2.47
Os: 0.3750 0.3611 0.7500  2 Ir 2.38, 2 Ga 2.47
Os: 0.8750 0.8889 0.7500  2 Ir 2.38, 2 Ga 2.47
Ga: 0.5000 0.5000 0.0000  4 Os 2.47
Ga: 0.2500 0.7500 0.5000  4 Os 2.47



What did the fifth record say?
Material: Ga6Ir3Os
Method: DFT, PBE
State: optimized geometry

Calculated total energy (eV/atom): -5.683
Symmetry: P2_1/c (14)
E_form (eV per formula unit): -0.9

a b c (Å): 6.2755 6.6729 7.9064
angles (deg): 90.00 94.63 90.00
Last column: nearest neighbours and their distance in Å.
Atoms (fractional coordinates):
Ga: 0.6452 0.1677 0.9291  3 Ir 2.48-2.73, 1 Os 2.51
Ga: 0.6407 0.1477 0.5614  4 Ir 2.54-2.70, 1 Os 2.54, 1 Ga 2.77
Ga: 0.7276 0.4470 0.2637  3 Ir 2.46-2.63, 1 Os 2.47
Ga: 0.2724 0.5530 0.7363  3 Ir 2.46-2.63, 1 Os 2.47
Ga: 0.3593 0.8523 0.4386  4 Ir 2.54-2.70, 1 Os 2.54, 1 Ga 2.77
Ga: 0.3548 0.8323 0.0709  3 Ir 2.48-2.73, 1 Os 2.51
Ga: 0.1452 0.3323 0.4291  3 Ir 2.48-2.73, 1 Os 2.51
Ga: 0.1407 0.3523 0.0614  4 Ir 2.54-2.70, 1 Os 2.54, 1 Ga 2.77
Ga: 0.2276 0.0530 0.7637  3 Ir 2.46-2.63, 1 Os 2.47
Ga: 0.7724 0.9470 0.2363  3 Ir 2.46-2.63, 1 Os 2.47
Ga: 0.8593 0.6477 0.9386  4 Ir 2.54-2.70, 1 Os 2.54, 1 Ga 2.77
Ga: 0.8548 0.6677 0.5709  3 Ir 2.48-2.73, 1 Os 2.51
Ir: 0.5553 0.8443 0.7548  7 Ga 2.49-2.73
Ir: 0.5000 0.5000 0.0000  6 Ga 2.46-2.54
Ir: 0.4447 0.1557 0.2452  7 Ga 2.49-2.73
Ir: 0.0553 0.6557 0.2548  7 Ga 2.49-2.73
Ir: 0.0000 0.0000 0.5000  6 Ga 2.46-2.54
Ir: 0.9447 0.3443 0.7452  7 Ga 2.49-2.73
Os: 0.5000 0.5000 0.5000  6 Ga 2.47-2.54
Os: 0.0000 0.0000 0.0000  6 Ga 2.47-2.54



> What is the formula in the second record?

GaIrOs



> Look up the calculated total energy of the second one.

-7.640 eV/atom



> E_form of number 6 (GaIrOs3)?

10.4 eV per formula unit